First-principles (GGA-PBE) data for a relaxed PrH2Cl4 crystal, as listed in Alexandria.

The total DFT energy (no corrections) comes out at -3.667 eV/atom. The calculation puts the total magnetization at 0.4 μB per formula unit. For the density of states at the Fermi level, the calculation gives 1.88 states/eV per cell.

The space group is P2/m (No. 10) and the conventional cell measures 6.927, 3.711 and 7.276 Å, with angles of 90.00, 94.73 and 90.00 degrees. The inequivalent atoms are Pr at (0.000, 0.000, 0.000), H at (0.247, 0.500, 0.322), Cl at (0.231, 0.500, 0.849) and Cl at (0.249, 0.000, 0.325).